No. 1
## BeHg5 (PBE-GGA)

Data for a geometry-optimized BeHg5 structure.

Properties
- E_form: 234 meV per atom
- Final energy: -3.830 eV/cell
- ΔE to the lowest computed polymorph: 44 meV/atom

abc: 7.5370 7.5370 3.0613
angles: 90.00 90.00 120.00
Space group P-62m (No. 189)
One atom of each set of equivalent atoms:
Be (0.0000, 0.0000, 0.0000) [1 per cell]
Hg (0.0000, 0.7305, 0.5000) [3 per cell]
Hg (0.3333, 0.6667, 0.0000) [2 per cell]

No. 2
## EuZrCu2 (PBE-GGA)

Data for a geometry-optimized EuZrCu2 structure.

Properties
- E_form: 26 meV per atom
- Final energy: -26.910 eV/cell
- ΔE to the lowest computed polymorph: 95 meV/atom

abc: 4.9138 4.9138 3.3070
angles: 90.00 90.00 90.00
Space group P4/mmm (No. 123)
One atom of each set of equivalent atoms:
Eu (0.0000, 0.0000, 0.0000) [1 per cell]
Zr (0.5000, 0.5000, 0.0000) [1 per cell]
Cu (0.0000, 0.5000, 0.5000) [2 per cell]

No. 3
## OsO3F (PBE-GGA)

Data for a geometry-optimized OsO3F structure.

Properties
- E_form (uncorrected): -0.915 eV per atom
- Final energy: -195.296 eV/cell

abc: 7.0934 7.0934 14.0183
angles: 90.00 90.00 120.00
Space group R-3 (No. 148, hexagonal axes)
One atom of each set of equivalent atoms:
Os (0.0000, 0.0000, 0.1546) [6 per cell]
O (0.0340, 0.2443, 0.1111) [18 per cell]
F (0.0000, 0.0000, 0.2881) [6 per cell]

Total moment for the records above, in order: 0.00 7.34 1.02 μB/f.u.